#w
First-principles (meta-GGA SCAN) data for YTe2Cl at its PBEsol-relaxed geometry, as listed in the Alexandria database.

abc: 4.301 4.301 11.989
angles: 100.33 100.33 90.00
Positions (direct):
Te 0.881 0.375 0.250
Te 0.369 0.875 0.250
Te 0.625 0.631 0.750
Te 0.125 0.119 0.750
Y 0.250 0.750 0.500
Y 0.000 0.000 0.000
Cl 0.500 0.500 0.000
Cl 0.750 0.250 0.500

Summary:
Symmetry ... I-42d
DOS(E_F) ... 1.25 states/eV/f.u.
Size of the total moment ... 0.00 μB/f.u.


#x
First-principles (meta-GGA SCAN) data for YTe2Cl at its PBEsol-relaxed geometry, as listed in the Alexandria database.

abc: 4.466 4.466 8.839
angles: 75.37 75.37 60.00
Positions (direct):
Y 0.500 0.500 0.500
Te 0.897 0.897 0.310
Te 0.103 0.103 0.690
Cl 0.000 0.000 0.000

Summary:
Symmetry ... R-3m
DOS(E_F) ... 0.32 states/eV/f.u.
Size of the total moment ... 0.00 μB/f.u.


Which of them is the least stable? Correct choice: #w.


#w
First-principles (meta-GGA SCAN) data for ZnTe2Cl at its PBEsol-relaxed geometry, as listed in the Alexandria database.

abc: 3.636 4.772 6.168
angles: 112.76 107.14 90.00
Positions (direct):
Te 0.799 0.799 0.598
Te 0.201 0.201 0.402
Zn 0.500 0.000 0.000
Cl 0.000 0.500 0.000

Summary:
Symmetry ... Immm
DOS(E_F) ... 1.56 states/eV/f.u.
Size of the total moment ... 0.00 μB/f.u.


#x
First-principles (meta-GGA SCAN) data for ZnTe2Cl at its PBEsol-relaxed geometry, as listed in the Alexandria database.

abc: 3.764 3.764 7.775
angles: 90.00 90.00 114.38
Positions (direct):
Cl 0.500 0.500 0.000
Te 0.000 0.000 0.290
Te 0.000 0.000 0.710
Zn 0.500 0.500 0.500

Summary:
Symmetry ... Cmmm
DOS(E_F) ... 1.82 states/eV/f.u.
Size of the total moment ... 0.00 μB/f.u.


Which of them is the least stable? Correct choice: #x.


#w
First-principles (meta-GGA SCAN) data for ZrTeCl3 at its PBEsol-relaxed geometry, as listed in the Alexandria database.

abc: 5.010 5.010 5.010
angles: 90.00 90.00 90.00
Site moments in Bohr magnetons follow the coordinates.
Positions (direct):
Zr 0.000 0.000 0.000  -0.01
Te 0.500 0.500 0.500  0.93
Cl 0.500 0.000 0.000  0.06
Cl 0.000 0.500 0.000  0.06
Cl 0.000 0.000 0.500  0.06

Summary:
Symmetry ... Pm-3m
DOS(E_F) ... 3.48 states/eV/f.u.
Size of the total moment ... 1.87 μB/f.u.


#x
First-principles (meta-GGA SCAN) data for ZrTeCl3 at its PBEsol-relaxed geometry, as listed in the Alexandria database.

abc: 5.346 5.346 5.346
angles: 90.00 90.00 90.00
Site moments in Bohr magnetons follow the coordinates.
Positions (direct):
Cl 0.000 0.000 0.500  0.01
Cl 0.500 0.000 0.000  0.01
Cl 0.000 0.500 0.000  0.01
Zr 0.500 0.500 0.500  1.73
Te 0.000 0.000 0.000  0.00

Summary:
Symmetry ... Pm-3m
DOS(E_F) ... 3.96 states/eV/f.u.
Size of the total moment ... 2.83 μB/f.u.


Which of them is the least stable? Correct choice: #x.


#w
First-principles (meta-GGA SCAN) data for Tl2Cl at its PBEsol-relaxed geometry, as listed in the Alexandria database.

abc: 3.463 8.524 5.732
angles: 90.00 90.00 90.00
Positions (direct):
Cl 0.000 0.000 0.000
Cl 0.500 0.500 0.500
Tl 0.000 0.800 0.504
Tl 0.500 0.700 0.004
Tl 0.000 0.200 0.496
Tl 0.500 0.300 0.996

Summary:
Symmetry ... Pnnm
DOS(E_F) ... 1.42 states/eV/f.u.
Size of the total moment ... 0.00 μB/f.u.


#x
First-principles (meta-GGA SCAN) data for Tl2Cl at its PBEsol-relaxed geometry, as listed in the Alexandria database.

abc: 5.505 5.505 6.369
angles: 90.00 90.00 120.00
Positions (direct):
Tl 0.000 0.000 0.500
Tl 0.333 0.667 0.750
Tl 0.667 0.333 0.250
Tl 0.000 0.000 0.000
Cl 0.333 0.667 0.250
Cl 0.667 0.333 0.750

Summary:
Symmetry ... P6_3/mmc
DOS(E_F) ... 1.21 states/eV/f.u.
Size of the total moment ... 0.00 μB/f.u.


#y
First-principles (meta-GGA SCAN) data for Tl2Cl at its PBEsol-relaxed geometry, as listed in the Alexandria database.

abc: 3.880 3.880 5.986
angles: 108.91 108.91 90.00
Positions (direct):
Tl 0.659 0.659 0.317
Tl 0.341 0.341 0.683
Cl 0.000 0.000 0.000

Summary:
Symmetry ... I4/mmm
DOS(E_F) ... 1.55 states/eV/f.u.
Size of the total moment ... 0.00 μB/f.u.


Which of them is the least stable? Correct choice: #w.